[1]
Ce6Bi2H | PBE | relaxed

## Properties
Total DFT energy (no corrections) in eV per atom: -5.579

Cell lengths 5.624, 6.866, 6.866 Å; angles 60.02, 90.11, 90.11 degrees
Fractional coordinates of all 9 atoms:
Ce 0.258 0.344 0.829
Ce 0.260 0.828 0.828
Ce 0.258 0.829 0.344
Ce 0.742 0.656 0.171
Ce 0.740 0.172 0.172
Ce 0.742 0.171 0.656
Bi 0.756 0.666 0.666
Bi 0.244 0.334 0.334
H 0.000 0.000 0.000

---

[2]
Si2SbMo | PBE | relaxed

## Properties
Energy relative to the elements, uncorrected in eV/atom: 0.22

Cell lengths 4.545, 4.545, 5.211 Å; angles 84.29, 84.29, 43.44 degrees
Fractional coordinates of all 4 atoms:
Mo 0.250 0.250 0.250
Sb 0.750 0.750 0.750
Si 0.972 0.972 0.091
Si 0.528 0.528 0.409